# GGA-PBEsol Li3PtRh, optimized geometry
data_Li3PtRh
_chemical_formula_sum 'Li3 Pt1 Rh1'
_space_group_name_H-M_alt 'P m -3 m'
_space_group_IT_number 221
_space_group_name_Hall '-P 4 2 3'
_cell_length_a 4.4192
_cell_length_b 4.4192
_cell_length_c 4.4192
_cell_angle_alpha 90.00
_cell_angle_beta 90.00
_cell_angle_gamma 90.00
loop_
_atom_site_label
_atom_site_fract_x
_atom_site_fract_y
_atom_site_fract_z
Li1 0.0000 0.0000 0.5000
Pt1 0.0000 0.0000 0.0000
Rh1 0.5000 0.5000 0.5000
# Calculated density: 6.13 g/cm3
# Total moment: 0.624 μB/f.u.
# Calculated total energy: -3.58 eV per atom

---

# GGA-PBEsol LiPt2Rh, optimized geometry
data_LiPt2Rh
_chemical_formula_sum 'Li1 Pt2 Rh1'
_space_group_name_H-M_alt 'P m m 2'
_space_group_IT_number 25
_cell_length_a 2.6824
_cell_length_b 4.4406
_cell_length_c 4.6341
_cell_angle_alpha 90.00
_cell_angle_beta 90.00
_cell_angle_gamma 90.00
loop_
_space_group_symop_operation_xyz
'x,y,z'
'-x,-y,z'
'-x,y,z'
'x,-y,z'
loop_
_atom_site_label
_atom_site_fract_x
_atom_site_fract_y
_atom_site_fract_z
Li1 0.0000 0.0000 0.0000
Pt1 0.5000 0.0000 0.4970
Pt2 0.5000 0.5000 0.8721
Rh1 0.0000 0.5000 0.3681
# Energy relative to the lowest polymorph listed for this composition: 0.0811 eV per atom
# Calculated density: 15.04 g/cm3
# Total moment: 0.000 μB/f.u.

---

# GGA-PBEsol Li2PtRh, optimized geometry
data_Li2PtRh
_chemical_formula_sum 'Li2 Pt1 Rh1'
_space_group_name_H-M_alt 'P 4/m m m'
_space_group_IT_number 123
_space_group_name_Hall '-P 4 2'
_cell_length_a 3.6747
_cell_length_b 3.6747
_cell_length_c 3.9597
_cell_angle_alpha 90.00
_cell_angle_beta 90.00
_cell_angle_gamma 90.00
loop_
_atom_site_label
_atom_site_fract_x
_atom_site_fract_y
_atom_site_fract_z
Li1 0.0000 0.5000 0.0000
Pt1 0.0000 0.0000 0.5000
Rh1 0.5000 0.5000 0.5000
# Energy relative to the lowest polymorph listed for this composition: 0.1532 eV per atom
# Calculated density: 9.69 g/cm3
# Total moment: 0.002 μB/f.u.

---

# GGA-PBEsol Li2PtRh, optimized geometry
data_Li2PtRh
_chemical_formula_sum 'Li8 Pt4 Rh4'
_space_group_name_H-M_alt 'F -4 3 m'
_space_group_IT_number 216
_space_group_name_Hall 'F -4 2 3'
_cell_length_a 5.9805
_cell_length_b 5.9805
_cell_length_c 5.9805
_cell_angle_alpha 90.00
_cell_angle_beta 90.00
_cell_angle_gamma 90.00
loop_
_atom_site_label
_atom_site_fract_x
_atom_site_fract_y
_atom_site_fract_z
Li1 0.0000 0.0000 0.0000
Li2 0.2500 0.2500 0.2500
Pt1 0.0000 0.0000 0.5000
Rh1 0.2500 0.2500 0.7500
# Energy relative to the lowest polymorph listed for this composition: 0.1709 eV per atom
# Calculated density: 9.68 g/cm3
# Total moment: 0.846 μB/f.u.

---

# GGA-PBEsol Li2PtRh, optimized geometry
data_Li2PtRh
_chemical_formula_sum 'Li6 Pt3 Rh3'
_space_group_name_H-M_alt 'R -3 m'
_space_group_IT_number 166
_space_group_name_Hall '-R 3 2"'
_cell_length_a 2.6703
_cell_length_b 2.6703
_cell_length_c 25.6144
_cell_angle_alpha 90.00
_cell_angle_beta 90.00
_cell_angle_gamma 120.00
loop_
_atom_site_label
_atom_site_fract_x
_atom_site_fract_y
_atom_site_fract_z
Li1 0.0000 0.0000 0.2491
Pt1 0.0000 0.0000 0.0000
Rh1 0.0000 0.0000 0.5000
# Energy relative to the lowest polymorph listed for this composition: 0.0008 eV per atom
# Calculated density: 9.82 g/cm3
# Total moment: 0.003 μB/f.u.

---

# GGA-PBEsol Li2PtRh, optimized geometry
data_Li2PtRh
_chemical_formula_sum 'Li2 Pt1 Rh1'
_space_group_name_H-M_alt 'P 1 2/m 1'
_space_group_IT_number 10
_cell_length_a 2.6331
_cell_length_b 4.2804
_cell_length_c 4.6964
_cell_angle_alpha 90.00
_cell_angle_beta 92.06
_cell_angle_gamma 90.00
loop_
_space_group_symop_operation_xyz
'x,y,z'
'-x,-y,-z'
'-x,y,-z'
'x,-y,z'
loop_
_atom_site_label
_atom_site_fract_x
_atom_site_fract_y
_atom_site_fract_z
Li1 0.2499 0.0000 0.2466
Pt1 0.0000 0.5000 0.5000
Rh1 0.5000 0.5000 0.0000
# Energy relative to the lowest polymorph listed for this composition: 0.0006 eV per atom
# Calculated density: 9.79 g/cm3
# Total moment: 0.002 μB/f.u.

---

Values for N(E_F), states/eV per cell, ordered as above
5.6; 3.5; 4.1; 18.5; 8.8; 2.7